{"formula": "NaTe2Ru", "functional": "PBE", "state": "optimized geometry", "cell": [[2.269, 0.000, 8.890], [-1.134, 1.965, 8.890], [-1.134, -1.965, 8.890]], "species": ["Te", "Te", "Na", "Ru"], "fractional_positions": [[0.887, 0.887, 0.887], [0.113, 0.113, 0.113], [0.000, 0.000, 0.000], [0.500, 0.500, 0.500]], "raw_formation_energy_mev_per_atom": -193, "relative_energy_mev_per_atom": 0, "spacegroup": "No. 166", "total_magnetization_mub_per_fu": 0.00, "vol_a3_per_cell": 118.9}